Entry 1:
Compound: NaCu2GeI
Source: the Alexandria database
Functional: PBEsol
Structure: optimized geometry

```
5
Lattice="4.891 0.000 0.000 0.000 4.891 0.000 0.000 0.000 5.446" Properties=species:S:1:pos:R:3 pbc="T T T"
Na 0.000 0.000 0.000
Cu 0.000 2.445 2.723
Cu 2.445 0.000 2.723
Ge 2.445 2.445 0.000
I 0.000 0.000 2.723
```

Computed properties:
Space-group type ... No. 123
E ... -2.47 eV per atom
N(E_F) ... 4.44 states/eV/f.u.



Entry 2:
Compound: FeOsS2Cl
Source: the Alexandria database
Functional: PBEsol
Structure: optimized geometry

```
5
Lattice="4.513 0.000 0.000 0.000 4.513 0.000 0.000 0.000 4.821" Properties=species:S:1:pos:R:3 pbc="T T T"
Fe 0.000 0.000 0.000
Os 2.257 2.257 2.411
S 0.000 2.257 2.411
S 2.257 0.000 2.411
Cl 2.257 2.257 0.000
```

Computed properties:
Space-group type ... No. 123
E ... -5.57 eV per atom
N(E_F) ... 7.75 states/eV/f.u.



Entry 3:
Compound: K2SbRu
Source: the Alexandria database
Functional: PBEsol
Structure: optimized geometry

```
4
Lattice="0.000 3.621 3.621 3.621 0.000 3.621 3.621 3.621 0.000" Properties=species:S:1:pos:R:3 pbc="T T T"
K 0.000 0.000 0.000
K 1.811 1.811 1.811
Sb 5.432 5.432 5.432
Ru 3.621 3.621 3.621
```

Computed properties:
Space-group type ... No. 216
E ... -3.61 eV per atom
N(E_F) ... 3.79 states/eV/f.u.



Entry 4:
Compound: Sr2CdPt2
Source: the Alexandria database
Functional: PBEsol
Structure: optimized geometry

```
5
Lattice="-2.261 2.944 4.533 2.261 -2.944 4.533 2.261 2.944 -4.533" Properties=species:S:1:pos:R:3 pbc="T T T"
Sr 0.000 0.000 1.822
Sr 0.000 0.000 7.244
Cd 0.000 2.944 0.000
Pt 2.261 1.338 0.000
Pt 0.000 1.606 4.533
```

Computed properties:
Space-group type ... No. 71
E ... -4.46 eV per atom
Formation energy from the elements ... -0.70 eV/atom
N(E_F) ... 2.32 states/eV/f.u.



Entry 5:
Compound: Y3Ga8Ni3
Source: the Alexandria database
Functional: PBEsol
Structure: optimized geometry

```
14
Lattice="7.666 -2.045 0.000 7.666 2.045 0.000 -5.674 0.000 7.499" Properties=species:S:1:pos:R:3 pbc="T T T"
Y 0.000 0.000 0.000
Y 3.088 0.000 2.482
Y 6.030 0.000 4.639
Ga -0.010 0.000 3.175
Ga -2.589 0.000 6.659
Ga 0.222 0.000 6.079
Ga 6.029 0.000 1.531
Ga 3.048 0.000 5.511
Ga 9.750 0.000 0.451
Ga 12.317 0.000 0.262
Ga 9.167 0.000 4.436
Ni 8.321 0.000 2.254
Ni 12.950 0.000 2.559
Ni 11.543 0.000 4.563
```

Computed properties:
Space-group type ... No. 8
E ... -5.31 eV per atom
Formation energy from the elements ... -0.62 eV/atom
N(E_F) ... 6.72 states/eV/f.u.



Entry 6:
Compound: ScIF3
Source: the Alexandria database
Functional: PBEsol
Structure: optimized geometry

```
5
Lattice="4.745 0.000 0.000 0.000 4.745 0.000 0.000 0.000 4.745" Properties=species:S:1:pos:R:3 pbc="T T T"
Sc 0.000 0.000 0.000
I 2.373 2.373 2.373
F 0.000 2.373 2.373
F 2.373 0.000 2.373
F 2.373 2.373 0.000
```

Computed properties:
Space-group type ... No. 221
E ... -3.53 eV per atom
N(E_F) ... 5.69 states/eV/f.u.



Entry 7:
Compound: Al2CuAgAs
Source: the Alexandria database
Functional: PBEsol
Structure: optimized geometry

```
5
Lattice="4.919 0.000 0.000 0.000 4.919 0.000 0.000 0.000 4.350" Properties=species:S:1:pos:R:3 pbc="T T T"
Al 0.000 2.460 0.000
Al 2.460 0.000 0.000
Cu 0.000 0.000 2.175
Ag 2.460 2.460 2.175
As 0.000 0.000 0.000
```

Computed properties:
Space-group type ... No. 123
E ... -3.56 eV per atom
Formation energy from the elements ... 0.63 eV/atom
N(E_F) ... 2.48 states/eV/f.u.



Entry 8:
Compound: K4NaCl5
Source: the Alexandria database
Functional: PBEsol
Structure: optimized geometry

```
10
Lattice="7.171 -2.158 0.000 7.171 2.158 0.000 -5.208 0.000 9.221" Properties=species:S:1:pos:R:3 pbc="T T T"
K -0.599 0.000 3.686
K 3.335 0.000 1.785
K 5.798 0.000 7.436
K 9.732 0.000 5.536
Na 7.171 0.000 0.000
Cl -3.444 0.000 8.377
Cl 0.652 0.000 6.591
Cl 4.566 0.000 4.611
Cl 8.481 0.000 2.630
Cl 12.577 0.000 0.844
```

Computed properties:
Space-group type ... No. 12
Energy above the lowest structure with this stoichiometry ... 2 meV per atom
E ... -3.50 eV per atom
N(E_F) ... 0.00 states/eV/f.u.